Entry 1:
Compound: La4Ho2Tm3
Source: Alexandria
Functional: GGA-PBE
Structure: optimized geometry

a b c (Å): 8.0828 8.0828 8.0538
angles (deg): 107.45 107.45 36.96
Atoms (fractional coordinates):
La 0.0535 0.0535 0.3296
La 0.2764 0.2764 0.6675
La 0.7236 0.7236 0.3325
La 0.9465 0.9465 0.6704
Ho 0.1676 0.1676 0.9999
Ho 0.8324 0.8324 0.0001
Tm 0.3882 0.3882 0.3278
Tm 0.5000 0.5000 0.0000
Tm 0.6118 0.6118 0.6722

Output
E above lowest polymorph = 0.00 kJ/mol of atoms
symmetry = No. 12
Fermi-level density of states = 15.5 states/eV per cell
formation enthalpy at 0 K = 0.035 eV per atom


Entry 2:
Compound: EuCuSn
Source: Alexandria
Functional: GGA-PBE
Structure: optimized geometry

a b c (Å): 5.9548 5.9548 7.6343
angles (deg): 127.77 127.77 44.99
Atoms (fractional coordinates):
Eu 0.0546 0.0546 0.3150
Eu 0.9454 0.9454 0.6850
Cu 0.3482 0.3482 0.2972
Cu 0.6518 0.6518 0.7028
Sn 0.3275 0.3275 0.8988
Sn 0.6725 0.6725 0.1012

Output
symmetry = No. 12
Fermi-level density of states = 17.6 states/eV per cell
formation enthalpy at 0 K = -0.409 eV per atom


Entry 3:
Compound: DyEr8Tl2
Source: Alexandria
Functional: GGA-PBE
Structure: optimized geometry

a b c (Å): 8.7353 8.7353 5.5273
angles (deg): 101.57 101.57 119.40
Atoms (fractional coordinates):
Dy 0.0000 0.0000 0.0000
Er 0.0954 0.3221 0.6184
Er 0.2164 0.7836 0.0000
Er 0.3221 0.0954 0.6184
Er 0.4011 0.4011 0.2023
Er 0.5989 0.5989 0.7977
Er 0.6779 0.9046 0.3816
Er 0.7836 0.2164 0.0000
Er 0.9046 0.6779 0.3816
Tl 0.3062 0.6938 0.5000
Tl 0.6938 0.3062 0.5000

Output
symmetry = No. 12
Fermi-level density of states = 14.8 states/eV per cell
formation enthalpy at 0 K = 0.007 eV per atom


Entry 4:
Compound: SiTe3
Source: Alexandria
Functional: GGA-PBE
Structure: optimized geometry

a b c (Å): 5.9708 5.9708 5.9708
angles (deg): 90.00 90.00 90.00
Atoms (fractional coordinates):
Si 0.0000 0.0000 0.0000
Si 0.5000 0.5000 0.5000
Te 0.0000 0.2500 0.5000
Te 0.0000 0.7500 0.5000
Te 0.2500 0.5000 0.0000
Te 0.5000 0.0000 0.2500
Te 0.5000 0.0000 0.7500
Te 0.7500 0.5000 0.0000

Output
symmetry = No. 223
Fermi-level density of states = 10.7 states/eV per cell
formation energy from raw total energies = 0.61 eV per atom


Entry 5:
Compound: NbPW3
Source: Alexandria
Functional: GGA-PBE
Structure: optimized geometry

a b c (Å): 4.7844 4.7844 4.7844
angles (deg): 90.00 90.00 90.00
Atoms (fractional coordinates):
Nb 0.0000 0.0000 0.0000
P 0.5000 0.5000 0.5000
W 0.0000 0.0000 0.5000
W 0.0000 0.5000 0.0000
W 0.5000 0.0000 0.0000

Output
E above lowest polymorph = 177.07 kJ/mol of atoms
symmetry = No. 221
Fermi-level density of states = 5.2 states/eV per cell
formation enthalpy at 0 K = 2.551 eV per atom


Entry 6:
Compound: PmZn2CuPt4
Source: Alexandria
Functional: GGA-PBE
Structure: optimized geometry

a b c (Å): 8.7449 8.7449 8.7449
angles (deg): 28.77 28.77 28.77
Atoms (fractional coordinates):
Pm 0.0000 0.0000 0.0000
Zn 0.2388 0.2388 0.2388
Zn 0.7612 0.7612 0.7612
Cu 0.5000 0.5000 0.5000
Pt 0.1288 0.1288 0.1288
Pt 0.4000 0.4000 0.4000
Pt 0.6000 0.6000 0.6000
Pt 0.8712 0.8712 0.8712

Output
symmetry = No. 166
Fermi-level density of states = 3.1 states/eV per cell
formation enthalpy at 0 K = -0.586 eV per atom


Entry 7:
Compound: CaSb2TePd
Source: Alexandria
Functional: GGA-PBE
Structure: optimized geometry

a b c (Å): 5.2006 5.2006 5.6124
angles (deg): 90.00 90.00 90.00
Atoms (fractional coordinates):
Ca 0.0000 0.0000 0.0000
Sb 0.0000 0.5000 0.5000
Sb 0.5000 0.0000 0.5000
Te 0.5000 0.5000 0.0000
Pd 0.5000 0.5000 0.5000

Output
E above lowest polymorph = 0.00 kJ/mol of atoms
symmetry = No. 123
Fermi-level density of states = 5.1 states/eV per cell
formation energy from raw total energies = -0.20 eV per atom


Which calculated total energy belongs to each record? In order, -4.66, -6.53, -4.16, -3.11, -8.32, -5.03, -3.92 eV per atom.